[1]
{
  "formula": "NaZnAgF2",
  "functional": "PBE-GGA",
  "state": "relaxed",
  "cell": [[4.704, 0.000, 0.000], [0.000, 4.704, 0.000], [0.000, 0.000, 4.903]],
  "species": ["Na", "Zn", "Ag", "F", "F"],
  "frac_coords": [[0.000, 0.000, 0.000], [0.500, 0.500, 0.000], [0.500, 0.500, 0.500], [0.000, 0.500, 0.500], [0.500, 0.000, 0.500]],
  "sg": "P4/mmm",
  "n_ef_per_ev_atom": 0.000,
  "dft_energy_ev_per_atom": -2.802,
  "formation_energy_uncorrected_ev_per_atom": -0.965
}

[2]
{
  "formula": "Sr2ZrSc",
  "functional": "PBE-GGA",
  "state": "relaxed",
  "cell": [[3.654, 0.000, 0.000], [0.000, 6.249, 0.000], [0.000, 0.000, 12.244]],
  "species": ["Sr", "Sr", "Sr", "Sr", "Zr", "Zr", "Sc", "Sc"],
  "frac_coords": [[0.000, 0.000, 0.000], [0.000, 0.500, 0.214], [0.500, 0.000, 0.714], [0.500, 0.500, 0.500], [0.000, 0.500, 0.759], [0.500, 0.000, 0.259], [0.000, 0.000, 0.452], [0.500, 0.500, 0.952]],
  "sg": "Imm2",
  "n_ef_per_ev_atom": 1.411,
  "dft_energy_ev_per_atom": -4.105,
  "e_form_ev_per_fu": 1.82,
  "polymorph_energy_mev_per_atom": 179
}

[3]
{
  "formula": "AlAgMo",
  "functional": "PBE-GGA",
  "state": "relaxed",
  "cell": [[3.476, 0.000, 0.000], [0.000, 4.286, 0.000], [0.000, 0.000, 12.980]],
  "species": ["Al", "Al", "Al", "Al", "Ag", "Ag", "Ag", "Ag", "Mo", "Mo", "Mo", "Mo"],
  "frac_coords": [[0.000, 0.000, 0.000], [0.000, 0.500, 0.500], [0.500, 0.000, 0.500], [0.500, 0.500, 0.000], [0.000, 0.000, 0.666], [0.000, 0.500, 0.166], [0.500, 0.000, 0.166], [0.500, 0.500, 0.666], [0.000, 0.000, 0.345], [0.000, 0.500, 0.845], [0.500, 0.000, 0.845], [0.500, 0.500, 0.345]],
  "sg": "Fmm2",
  "n_ef_per_ev_atom": 0.313,
  "dft_energy_ev_per_atom": -5.712,
  "e_form_ev_per_fu": 0.29,
  "polymorph_energy_mev_per_atom": 8
}

[4]
{
  "formula": "Ti3Si",
  "functional": "PBE-GGA",
  "state": "relaxed",
  "cell": [[3.845, 0.000, 0.000], [0.000, 3.845, 0.000], [0.000, 0.000, 8.482]],
  "species": ["Ti", "Ti", "Ti", "Ti", "Ti", "Ti", "Si", "Si"],
  "frac_coords": [[0.000, 0.000, 0.000], [0.000, 0.500, 0.250], [0.000, 0.500, 0.750], [0.500, 0.000, 0.250], [0.500, 0.000, 0.750], [0.500, 0.500, 0.500], [0.000, 0.000, 0.500], [0.500, 0.500, 0.000]],
  "sg": "I4/mmm",
  "n_ef_per_ev_atom": 0.747,
  "dft_energy_ev_per_atom": -7.699,
  "formation_energy_uncorrected_ev_per_atom": -0.422
}

[5]
{
  "formula": "Hf3ZrSc7",
  "functional": "PBE-GGA",
  "state": "relaxed",
  "cell": [[6.376, 0.000, 0.000], [-3.188, 5.522, 0.000], [0.000, 0.000, 7.701]],
  "species": ["Hf", "Hf", "Hf", "Zr", "Sc", "Sc", "Sc", "Sc", "Sc", "Sc", "Sc"],
  "frac_coords": [[0.002, 0.501, 0.000], [0.499, 0.501, 0.000], [0.499, 0.998, 0.000], [0.333, 0.667, 0.670], [0.169, 0.337, 0.328], [0.169, 0.831, 0.328], [0.335, 0.167, 0.679], [0.663, 0.831, 0.328], [0.667, 0.333, 0.334], [0.833, 0.167, 0.679], [0.833, 0.665, 0.679]],
  "sg": "P3m1",
  "n_ef_per_ev_atom": 1.529,
  "dft_energy_ev_per_atom": -7.266,
  "e_form_ev_per_fu": 2.80
}

[6]
{
  "formula": "ThSc2NbO8",
  "functional": "PBE-GGA",
  "state": "relaxed",
  "cell": [[3.438, -3.461, 0.000], [3.438, 3.461, 0.000], [0.000, 0.000, 6.803]],
  "species": ["Th", "Sc", "Sc", "Nb", "O", "O", "O", "O", "O", "O", "O", "O"],
  "frac_coords": [[0.000, 0.000, 0.000], [0.500, 0.500, 0.267], [0.500, 0.500, 0.733], [0.000, 0.000, 0.500], [0.194, 0.806, 0.280], [0.194, 0.806, 0.720], [0.296, 0.296, 0.500], [0.324, 0.324, 0.000], [0.676, 0.676, 0.000], [0.704, 0.704, 0.500], [0.806, 0.194, 0.280], [0.806, 0.194, 0.720]],
  "sg": "Cmmm",
  "n_ef_per_ev_atom": 0.398,
  "dft_energy_ev_per_atom": -8.874,
  "formation_energy_uncorrected_ev_per_atom": -3.056
}

[7]
{
  "formula": "MgMo2Cl",
  "functional": "PBE-GGA",
  "state": "relaxed",
  "cell": [[3.229, 0.000, 0.000], [0.000, 5.265, 0.000], [-0.293, 0.000, 4.519]],
  "species": ["Mg", "Mo", "Mo", "Cl"],
  "frac_coords": [[0.000, 0.000, 0.000], [0.284, 0.500, 0.193], [0.716, 0.500, 0.807], [0.500, 0.000, 0.500]],
  "sg": "P2/m",
  "n_ef_per_ev_atom": 0.685,
  "dft_energy_ev_per_atom": -5.894,
  "polymorph_energy_mev_per_atom": 418,
  "formation_energy_uncorrected_ev_per_atom": 0.382
}

[8]
{
  "formula": "MnV4Fe",
  "functional": "PBE-GGA",
  "state": "relaxed",
  "cell": [[9.275, 0.000, 0.000], [0.000, 2.890, 0.000], [-1.804, 0.000, 5.494]],
  "species": ["Mn", "Mn", "V", "V", "V", "V", "V", "V", "V", "V", "Fe", "Fe"],
  "frac_coords": [[0.000, 0.000, 0.000], [0.500, 0.500, 0.000], [0.162, 0.500, 0.832], [0.164, 0.500, 0.330], [0.336, 0.000, 0.670], [0.338, 0.000, 0.168], [0.662, 0.000, 0.832], [0.664, 0.000, 0.330], [0.836, 0.500, 0.670], [0.838, 0.500, 0.168], [0.000, 0.000, 0.500], [0.500, 0.500, 0.500]],
  "sg": "C2/m",
  "n_ef_per_ev_atom": 0.428,
  "dft_energy_ev_per_atom": -9.214,
  "e_form_ev_per_fu": -1.18,
  "polymorph_energy_mev_per_atom": 0
}

[9]
{
  "formula": "Dy6Tl4Pb7",
  "functional": "PBE-GGA",
  "state": "relaxed",
  "cell": [[-5.036, 5.036, 5.036], [5.036, -5.036, 5.036], [5.036, 5.036, -5.036]],
  "species": ["Dy", "Dy", "Dy", "Dy", "Dy", "Dy", "Tl", "Tl", "Tl", "Tl", "Pb", "Pb", "Pb", "Pb", "Pb", "Pb", "Pb"],
  "frac_coords": [[0.000, 0.292, 0.292], [0.000, 0.708, 0.708], [0.292, 0.000, 0.292], [0.292, 0.292, 0.000], [0.708, 0.000, 0.708], [0.708, 0.708, 0.000], [0.000, 0.000, 0.500], [0.000, 0.500, 0.000], [0.500, 0.000, 0.000], [0.500, 0.500, 0.500], [0.000, 0.000, 0.000], [0.250, 0.500, 0.750], [0.250, 0.750, 0.500], [0.500, 0.250, 0.750], [0.500, 0.750, 0.250], [0.750, 0.250, 0.500], [0.750, 0.500, 0.250]],
  "sg": "Im-3m",
  "n_ef_per_ev_atom": 0.961,
  "dft_energy_ev_per_atom": -3.840,
  "e_form_ev_per_fu": -2.24
}

[10]
{
  "formula": "Pr2HoSc8",
  "functional": "PBE-GGA",
  "state": "relaxed",
  "cell": [[4.333, -7.638, 0.000], [4.333, 7.638, 0.000], [-3.151, 0.000, 4.571]],
  "species": ["Pr", "Pr", "Ho", "Sc", "Sc", "Sc", "Sc", "Sc", "Sc", "Sc", "Sc"],
  "frac_coords": [[0.194, 0.806, 0.000], [0.806, 0.194, 0.000], [0.500, 0.500, 0.500], [0.058, 0.058, 0.292], [0.172, 0.403, 0.819], [0.294, 0.706, 0.500], [0.403, 0.172, 0.819], [0.597, 0.828, 0.181], [0.706, 0.294, 0.500], [0.828, 0.597, 0.181], [0.942, 0.942, 0.708]],
  "sg": "C2/m",
  "n_ef_per_ev_atom": 1.375,
  "dft_energy_ev_per_atom": -5.732,
  "e_form_ev_per_fu": 1.74
}

[11]
{
  "formula": "CsZnF3",
  "functional": "PBE-GGA",
  "state": "relaxed",
  "cell": [[5.676, 0.000, 0.000], [0.037, 6.494, 0.000], [0.387, 2.897, 5.854]],
  "species": ["Cs", "Cs", "Zn", "Zn", "F", "F", "F", "F", "F", "F"],
  "frac_coords": [[0.000, 0.000, 0.000], [0.478, 0.641, 0.630], [0.494, 0.285, 0.247], [0.986, 0.356, 0.383], [0.219, 0.511, 0.117], [0.261, 0.131, 0.513], [0.495, 0.162, 0.029], [0.705, 0.546, 0.207], [0.775, 0.096, 0.422], [0.983, 0.479, 0.601]],
  "sg": "P1",
  "n_ef_per_ev_atom": 0.000,
  "dft_energy_ev_per_atom": -4.062,
  "formation_energy_uncorrected_ev_per_atom": -2.514
}

[12]
{
  "formula": "CuRu3S",
  "functional": "PBE-GGA",
  "state": "relaxed",
  "cell": [[4.557, 0.000, 0.000], [0.000, 4.557, 0.000], [0.000, 0.000, 4.557]],
  "species": ["Cu", "Ru", "Ru", "Ru", "S"],
  "frac_coords": [[0.000, 0.000, 0.000], [0.000, 0.000, 0.500], [0.000, 0.500, 0.000], [0.500, 0.000, 0.000], [0.500, 0.500, 0.500]],
  "sg": "Pm-3m",
  "n_ef_per_ev_atom": 1.659,
  "dft_energy_ev_per_atom": -5.338,
  "polymorph_energy_mev_per_atom": 1246,
  "formation_energy_uncorrected_ev_per_atom": 1.872
}

[13]
{
  "formula": "CdBrO2",
  "functional": "PBE-GGA",
  "state": "relaxed",
  "cell": [[3.756, 0.000, 0.000], [-1.878, 3.253, 0.000], [0.000, 0.000, 20.624]],
  "species": ["Cd", "Cd", "Cd", "Br", "Br", "Br", "O", "O", "O", "O", "O", "O"],
  "frac_coords": [[0.000, 0.000, 0.000], [0.333, 0.667, 0.667], [0.667, 0.333, 0.333], [0.000, 0.000, 0.525], [0.333, 0.667, 0.191], [0.667, 0.333, 0.858], [0.000, 0.000, 0.342], [0.000, 0.000, 0.874], [0.333, 0.667, 0.009], [0.333, 0.667, 0.541], [0.667, 0.333, 0.207], [0.667, 0.333, 0.675]],
  "sg": "R3m",
  "n_ef_per_ev_atom": 0.448,
  "dft_energy_ev_per_atom": -3.060,
  "polymorph_energy_mev_per_atom": 507,
  "formation_energy_uncorrected_ev_per_atom": 0.066
}

[14]
{
  "formula": "MgCOF2",
  "functional": "PBE-GGA",
  "state": "relaxed",
  "cell": [[3.699, 0.000, 0.000], [0.000, 3.699, 0.000], [0.000, 0.000, 4.229]],
  "species": ["Mg", "C", "O", "F", "F"],
  "frac_coords": [[0.000, 0.000, 0.000], [0.500, 0.500, 0.500], [0.000, 0.000, 0.500], [0.000, 0.500, 0.000], [0.500, 0.000, 0.000]],
  "sg": "P4/mmm",
  "n_ef_per_ev_atom": 0.001,
  "dft_energy_ev_per_atom": -4.202,
  "polymorph_energy_mev_per_atom": 133,
  "formation_energy_uncorrected_ev_per_atom": -0.298
}